VASP calculation (PBE) on an optimized crystal structure of CuIr3.

Values from the calculation:
VASP energy = -30.39 eV for the cell shown
calculated formation energy = 0.072 eV per atom
calculated density = 18.93 g cm⁻³

```
CuIr3
1.0
4.4587 -1.3676 0.0000
4.4587 1.3676 0.0000
-0.8050 0.0000 4.6051
Cu Ir
1 3
Cartesian
0.0000 0.0000 0.0000
1.6002 0.0000 3.4625
4.0561 0.0000 2.3025
6.5121 0.0000 1.1426
```